A relaxed AcCdW2O8 crystal, computed with PBE+U.

a b c (Å): 6.3068 6.3068 7.3794
angles (deg): 90.00 90.00 120.00
Space group P-3m1 (No. 164)
Asymmetric unit:
Ac: 0.0000 0.0000 0.0000 (multiplicity 1)
Cd: 0.0000 0.0000 0.5000 (multiplicity 1)
W: 0.3333 0.6667 0.2996 (multiplicity 2)
O: 0.1743 0.3485 0.2183 (multiplicity 6)
O: 0.3333 0.6667 0.5392 (multiplicity 2)

Density of states at the Fermi level   0.1905 states/eV per atom
E   -83.6 eV/cell